[1]
Compound: Be4CoW
Source: the Alexandria database
Functional: PBE-GGA
Structure: optimized geometry

Summary:
ΔE_f, kJ/mol of atoms: -13
Total moment, μB/f.u.: 1.4
SG: F-43m
D(E_F), states/eV/f.u.: 2.8

a b c (Å): 4.3198 4.3198 4.3198
angles (deg): 60.00 60.00 60.00
Site moments in Bohr magnetons follow the coordinates.
Element x y z (fractional)
Be 0.8816 0.3728 0.3728  0.01
Be 0.3728 0.3728 0.8816  0.01
Be 0.3728 0.8816 0.3728  0.01
Be 0.3728 0.3728 0.3728  0.01
Co 0.7500 0.7500 0.7500  1.00
W 0.0000 0.0000 0.0000  0.28

---

[2]
Compound: Be2Co2W
Source: the Alexandria database
Functional: PBE-GGA
Structure: optimized geometry

Summary:
ΔE_f, kJ/mol of atoms: -13
Total moment, μB/f.u.: 0.0
SG: P4/mbm
D(E_F), states/eV/f.u.: 4.1

a b c (Å): 6.3510 6.3510 2.5756
angles (deg): 90.00 90.00 90.00
Element x y z (fractional)
Be 0.3816 0.8816 0.0000
Be 0.8816 0.6185 0.0000
Be 0.6185 0.1184 0.0000
Be 0.1184 0.3816 0.0000
Co 0.1744 0.6744 0.5000
Co 0.6744 0.8256 0.5000
Co 0.8256 0.3256 0.5000
Co 0.3256 0.1744 0.5000
W 0.0000 0.0000 0.0000
W 0.5000 0.5000 0.0000

---

> Among the records above, which one has the lowest total moment?

Be2Co2W

---

> What is the total moment in the second record?

0.0 μB/f.u.